[1]
! PBE CrInH, relaxed; values from VASP
&SYSTEM
  ibrav = 0, nat = 18, ntyp = 3
/
ATOMIC_SPECIES
In 114.82 In.upf
Cr 52.00 Cr.upf
H 1.01 H.upf
ATOMIC_POSITIONS angstrom
In 0.000 1.819 21.608
Cr 0.000 0.000 7.074
H 0.000 1.819 14.620
H 1.575 0.909 5.253
H 0.000 0.000 16.252
Cr 0.000 1.819 25.807
Cr 0.000 0.000 14.485
Cr 0.000 1.819 5.118
In 0.000 0.000 28.082
In 0.000 0.000 2.875
H 1.575 0.909 25.619
In 0.000 1.819 18.716
In 1.575 0.909 9.349
H 0.000 0.000 23.987
Cr 1.575 0.909 16.440
In 1.575 0.909 12.241
Cr 1.575 0.909 23.851
H 0.000 1.819 6.885
CELL_PARAMETERS angstrom
3.150 0.000 0.000
-1.575 2.728 0.000
0.000 0.000 28.100
! Polymorph energy (0 for the lowest one)   60 meV/atom
! VASP energy   -91.0 eV per cell
! Space group   No. 160



[2]
! PBE CrInH, relaxed; values from VASP
&SYSTEM
  ibrav = 0, nat = 6, ntyp = 3
/
ATOMIC_SPECIES
Cr 52.00 Cr.upf
In 114.82 In.upf
H 1.01 H.upf
ATOMIC_POSITIONS angstrom
Cr 1.927 2.691 3.696
Cr 2.958 1.273 5.173
In 4.178 2.181 7.472
In 0.708 1.783 1.397
H 2.642 0.896 3.504
H 2.243 3.068 5.365
CELL_PARAMETERS angstrom
2.970 -0.012 0.003
0.690 2.912 0.003
1.225 1.064 8.863
! Polymorph energy (0 for the lowest one)   79 meV/atom
! VASP energy   -30.2 eV per cell
! Space group   No. 2



[3]
! PBE CrInH, relaxed; values from VASP
&SYSTEM
  ibrav = 0, nat = 6, ntyp = 3
/
ATOMIC_SPECIES
H 1.01 H.upf
Cr 52.00 Cr.upf
In 114.82 In.upf
ATOMIC_POSITIONS angstrom
H 0.000 0.000 6.221
H 0.000 0.000 3.720
Cr 0.000 1.744 4.010
In 1.511 0.872 1.492
Cr 0.000 1.744 5.931
In 1.511 0.872 8.449
CELL_PARAMETERS angstrom
3.021 0.000 0.000
-1.511 2.617 0.000
0.000 0.000 9.941
! Polymorph energy (0 for the lowest one)   103 meV/atom
! VASP energy   -30.1 eV per cell
! Space group   No. 187



[4]
! PBE CrIn2H, relaxed; values from VASP
&SYSTEM
  ibrav = 0, nat = 8, ntyp = 3
/
ATOMIC_SPECIES
In 114.82 In.upf
Cr 52.00 Cr.upf
H 1.01 H.upf
ATOMIC_POSITIONS angstrom
In 4.993 5.455 2.105
In 4.531 1.664 0.702
Cr 6.658 3.329 1.403
Cr 0.000 0.000 0.000
In 8.322 7.860 2.105
H 3.329 3.329 0.000
H 3.329 6.658 1.403
In 2.126 4.993 0.702
CELL_PARAMETERS angstrom
6.658 0.000 0.000
0.000 6.658 0.000
3.329 3.329 2.806
! Polymorph energy (0 for the lowest one)   71 meV/atom
! VASP energy   -30.9 eV per cell
! Space group   No. 122



Question: The highest polymorph energy (0 for the lowest one) belongs to which entry?
Answer: number 3